Entry 1:
4
Lattice="3.877 0.000 0.000 1.938 3.357 0.000 1.938 1.119 8.259" Properties=species:S:1:pos:R:3 comment="Bi2RhBr | Alexandria via LeMat-Bulk | GGA-PBE | relaxed" space_group="No. 160" de_polymorph_ev_per_fu=0.13 pbc="T T T"
Bi 1.938 1.119 6.595
Bi 1.938 1.119 1.605
Br 3.877 2.238 4.215
Rh 5.815 3.357 8.234

Entry 2:
18
Lattice="-1.895 5.444 1.127 -5.144 -3.303 7.305 7.405 1.370 5.834" Properties=species:S:1:pos:R:3 comment="NaAg4Pb4 | Alexandria via LeMat-Bulk | GGA-PBE | relaxed" delta_e_f_ev_per_atom=0.117 space_group="No. 86" pbc="T T T"
Ag 0.612 -1.307 10.443
Ag -1.082 1.279 4.208
Ag -2.629 1.120 8.573
Ag -4.228 2.776 6.992
Ag 1.265 0.477 2.925
Ag 1.832 1.129 9.830
Ag 3.083 5.076 8.173
Ag 2.611 3.493 5.921
Pb 4.020 2.194 8.190
Pb -0.915 1.260 10.952
Pb 3.568 0.931 4.777
Pb -3.249 0.152 5.835
Pb 1.464 4.005 10.448
Pb -1.713 -1.700 8.603
Pb -2.588 3.784 4.704
Pb 0.876 3.415 3.556
Na 0.000 0.000 0.000
Na 0.183 1.755 7.133

Entry 3:
6
Lattice="-4.890 1.333 -0.279 -0.523 -1.040 4.206 2.599 4.163 1.353" Properties=species:S:1:pos:R:3 comment="YNiOs | Alexandria via LeMat-Bulk | GGA-PBE | relaxed" delta_e_f_ev_per_atom=-0.237 space_group="No. 11" de_polymorph_ev_per_fu=0.37 pbc="T T T"
Y -2.465 1.055 3.350
Y -0.349 3.401 1.930
Os 0.152 0.237 1.210
Os -2.967 4.219 4.071
Ni -3.027 3.267 1.564
Ni 0.212 1.189 3.717

Number 1: energy -17.65 eV/cell, M_tot 0.000 μB per atom. Number 2: energy -53.01 eV/cell, M_tot 0.000 μB per atom. Number 3: energy -48.38 eV/cell, M_tot 0.000 μB per atom.